## TaSiAs2Se (PBE)

Data for crystalline TaSiAs2Se at its relaxed geometry.

a = 4.6501 Å, b = 4.6501 Å, c = 4.7041 Å
α = 90.00°, β = 90.00°, γ = 90.00°
Last column: nearest neighbours and their distance in Å.
Positions (direct):
Si (0.0000, 0.0000, 0.0000)  4 As 2.33, 2 Se 2.35
As (0.5000, 0.0000, 0.0000)  2 Si 2.33
As (0.0000, 0.5000, 0.0000)  2 Si 2.33
Ta (0.5000, 0.5000, 0.5000)  4 Se 3.29, 8 As 3.31
Se (0.0000, 0.0000, 0.5000)  2 Si 2.35

Computed properties:
symmetry: P4/mmm (123)
total energy: -25.6 eV per cell
Fermi-level density of states: 3.96 states/eV/f.u.
ΔE to the lowest computed polymorph: 32.27 kJ/mol of atoms


## ReSi2Ru (PBE)

Data for crystalline ReSi2Ru at its relaxed geometry.

a = 4.2964 Å, b = 4.2964 Å, c = 4.2964 Å
α = 60.00°, β = 60.00°, γ = 60.00°
Last column: nearest neighbours and their distance in Å.
Positions (direct):
Si (0.2500, 0.2500, 0.2500)  4 Re 2.63, 4 Si 2.63
Re (0.5000, 0.5000, 0.5000)  4 Ru 2.63, 4 Si 2.63
Ru (0.7500, 0.7500, 0.7500)  4 Re 2.63, 4 Si 2.63
Si (0.0000, 0.0000, 0.0000)  4 Si 2.63, 4 Ru 2.63

Computed properties:
symmetry: F-43m (216)
total energy: -31.6 eV per cell
Fermi-level density of states: 2.41 states/eV/f.u.


## Tb6BiAs3S2 (PBE)

Data for crystalline Tb6BiAs3S2 at its relaxed geometry.

a = 4.1409 Å, b = 8.2960 Å, c = 9.2381 Å
α = 102.90°, β = 102.95°, γ = 90.00°
Last column: nearest neighbours and their distance in Å.
Positions (direct):
Tb (0.0025, 0.2688, 0.0051)  3 As 2.83-2.93, 1 S 2.94, 2 Bi 3.04
S (0.8301, 0.6620, 0.6602)  6 Tb 2.85-2.95
Tb (0.9975, 0.7312, 0.9949)  3 As 2.83-2.93, 1 S 2.94, 2 Bi 3.04
Tb (0.6675, 0.5845, 0.3350)  3 S 2.85-2.92, 3 As 2.92-2.94
Bi (0.5000, 0.0000, 0.0000)  6 Tb 3.04-3.06
As (0.1643, 0.8306, 0.3286)  6 Tb 2.83-2.94
As (0.8357, 0.1694, 0.6714)  6 Tb 2.83-2.94
Tb (0.3325, 0.4155, 0.6650)  3 S 2.85-2.92, 3 As 2.92-2.94
Tb (0.3256, 0.9129, 0.6512)  3 As 2.83-2.94, 2 S 2.95, 1 Bi 3.06
Tb (0.6744, 0.0871, 0.3488)  3 As 2.83-2.94, 2 S 2.95, 1 Bi 3.06
S (0.1699, 0.3380, 0.3398)  6 Tb 2.85-2.95
As (0.5000, 0.5000, 0.0000)  6 Tb 2.83-2.94

Computed properties:
symmetry: C2/m (12)
total energy: -72.7 eV per cell
Fermi-level density of states: 3.93 states/eV/f.u.


## AcLaYSn (PBE)

Data for crystalline AcLaYSn at its relaxed geometry.

a = 5.6713 Å, b = 5.6713 Å, c = 5.6713 Å
α = 60.00°, β = 60.00°, γ = 60.00°
Last column: nearest neighbours and their distance in Å.
Positions (direct):
Sn (0.5000, 0.5000, 0.5000)  4 Y 3.47, 4 La 3.47
Ac (0.0000, 0.0000, 0.0000)  4 La 3.47, 4 Y 3.47
Y (0.7500, 0.7500, 0.7500)  4 Ac 3.47, 4 Sn 3.47
La (0.2500, 0.2500, 0.2500)  4 Sn 3.47, 4 Ac 3.47

Computed properties:
symmetry: F-43m (216)
total energy: -20.4 eV per cell
formation energy: -0.21 eV/atom
Fermi-level density of states: 6.78 states/eV/f.u.


## ScAg2Cl (PBE)

Data for crystalline ScAg2Cl at its relaxed geometry.

a = 3.3324 Å, b = 3.6098 Å, c = 7.8561 Å
α = 83.72°, β = 90.00°, γ = 90.00°
Last column: nearest neighbours and their distance in Å.
Positions (direct):
Cl (0.0000, 0.5810, 0.5489)  2 Sc 2.51
Ag (0.0000, 0.9724, 0.9867)  4 Ag 2.87, 4 Sc 2.90
Ag (0.5000, 0.4274, 0.1758)  4 Ag 2.87, 1 Sc 3.02
Sc (0.5000, 0.5192, 0.7886)  2 Cl 2.51

Computed properties:
symmetry: Pm (6)
total energy: -16.1 eV per cell
Fermi-level density of states: 0.83 states/eV/f.u.
ΔE to the lowest computed polymorph: 0.00 kJ/mol of atoms


## HfIn2Cu (PBE)

Data for crystalline HfIn2Cu at its relaxed geometry.

a = 4.8630 Å, b = 4.8630 Å, c = 4.8630 Å
α = 60.00°, β = 60.00°, γ = 60.00°
Last column: nearest neighbours and their distance in Å.
Positions (direct):
In (0.7500, 0.7500, 0.7500)  4 Hf 2.98, 4 Cu 2.98
Hf (0.5000, 0.5000, 0.5000)  8 In 2.98
Cu (0.0000, 0.0000, 0.0000)  8 In 2.98
In (0.2500, 0.2500, 0.2500)  4 Hf 2.98, 4 Cu 2.98

Computed properties:
symmetry: Fm-3m (225)
total energy: -18.7 eV per cell
formation energy: 0.20 eV/atom
Fermi-level density of states: 4.46 states/eV/f.u.


## Cd6AgAu (PBE)

Data for crystalline Cd6AgAu at its relaxed geometry.

a = 4.5880 Å, b = 6.0882 Å, c = 6.0882 Å
α = 99.50°, β = 90.00°, γ = 90.00°
Last column: nearest neighbours and their distance in Å.
Positions (direct):
Au (0.0000, 0.0783, 0.9217)  10 Cd 2.91-3.15
Cd (0.5000, 0.8650, 0.1350)  2 Au 3.03, 10 Cd 3.06-3.18
Cd (0.5000, 0.9245, 0.6434)  2 Au 2.91, 2 Ag 3.02-3.12, 6 Cd 3.06-3.20
Cd (0.0000, 0.6310, 0.3690)  2 Ag 3.00, 10 Cd 3.04-3.20
Cd (0.0000, 0.1417, 0.4193)  2 Ag 2.93, 2 Au 2.99-3.15, 6 Cd 3.04-3.18
Cd (0.0000, 0.5807, 0.8583)  2 Ag 2.93, 2 Au 2.99-3.15, 6 Cd 3.04-3.18
Cd (0.5000, 0.3566, 0.0755)  2 Au 2.91, 2 Ag 3.02-3.12, 6 Cd 3.06-3.20
Ag (0.5000, 0.4223, 0.5777)  10 Cd 2.93-3.12

Computed properties:
symmetry: Amm2 (38)
total energy: -12.0 eV per cell
formation energy: -0.04 eV/atom
Fermi-level density of states: 2.20 states/eV/f.u.
ΔE to the lowest computed polymorph: 0.59 kJ/mol of atoms


## CrSiAg (PBE)

Data for crystalline CrSiAg at its relaxed geometry.

a = 2.7817 Å, b = 2.7817 Å, c = 6.5102 Å
α = 90.00°, β = 90.00°, γ = 120.00°
Last column: nearest neighbours and their distance in Å.
Positions (direct):
Cr (0.6667, 0.3333, 0.3581)  3 Si 2.45
Ag (0.0000, 0.0000, 0.9996)  6 Ag 2.78, 3 Si 2.83, 3 Cr 2.83
Si (0.3333, 0.6667, 0.6424)  3 Cr 2.45

Computed properties:
symmetry: P3m1 (156)
total energy: -16.9 eV per cell
Fermi-level density of states: 1.79 states/eV/f.u.
ΔE to the lowest computed polymorph: 8.05 kJ/mol of atoms


## NdSmY6Er2 (PBE)

Data for crystalline NdSmY6Er2 at its relaxed geometry.

a = 9.6229 Å, b = 8.7964 Å, c = 8.7964 Å
α = 116.94°, β = 94.00°, γ = 94.00°
Last column: nearest neighbours and their distance in Å.
Positions (direct):
Sm (0.2500, 0.9724, 0.0276)  4 Er 3.38-3.42, 4 Y 3.54-3.66
Y (0.0567, 0.1171, 0.7539)  7 Y 3.42-3.76, 1 Er 3.47, 1 Sm 3.66
Y (0.3832, 0.5108, 0.2948)  4 Y 3.24-3.56, 3 Er 3.30-3.46, 2 Nd 3.43-3.53
Y (0.1810, 0.5678, 0.0194)  2 Y 3.24-3.54, 2 Er 3.42-3.59, 1 Nd 3.50, 1 Sm 3.54
Y (0.5567, 0.7539, 0.1171)  7 Y 3.42-3.76, 1 Er 3.47, 1 Sm 3.66
Er (0.4518, 0.8052, 0.7040)  6 Y 3.30-3.59, 2 Sm 3.38-3.42, 1 Nd 3.55
Y (0.9433, 0.8829, 0.2461)  7 Y 3.42-3.76, 1 Er 3.47, 1 Sm 3.66
Y (0.1168, 0.7052, 0.4892)  4 Y 3.24-3.56, 3 Er 3.30-3.46, 2 Nd 3.43-3.53
Y (0.6810, 0.0194, 0.5678)  2 Y 3.24-3.54, 2 Er 3.42-3.59, 1 Nd 3.50, 1 Sm 3.54
Sm (0.7500, 0.0276, 0.9724)  4 Er 3.38-3.42, 4 Y 3.54-3.66
Nd (0.7500, 0.5920, 0.4080)  6 Y 3.43-3.53, 2 Er 3.55
Y (0.8832, 0.2948, 0.5108)  4 Y 3.24-3.56, 3 Er 3.30-3.46, 2 Nd 3.43-3.53
Er (0.9518, 0.7040, 0.8052)  6 Y 3.30-3.59, 2 Sm 3.38-3.42, 1 Nd 3.55
Y (0.4433, 0.2461, 0.8829)  7 Y 3.42-3.76, 1 Er 3.47, 1 Sm 3.66
Y (0.8190, 0.4322, 0.9806)  2 Y 3.24-3.54, 2 Er 3.42-3.59, 1 Nd 3.50, 1 Sm 3.54
Y (0.6168, 0.4892, 0.7052)  4 Y 3.24-3.56, 3 Er 3.30-3.46, 2 Nd 3.43-3.53
Y (0.3190, 0.9806, 0.4322)  2 Y 3.24-3.54, 2 Er 3.42-3.59, 1 Nd 3.50, 1 Sm 3.54
Er (0.5482, 0.1948, 0.2960)  6 Y 3.30-3.59, 2 Sm 3.38-3.42, 1 Nd 3.55
Er (0.0482, 0.2960, 0.1948)  6 Y 3.30-3.59, 2 Sm 3.38-3.42, 1 Nd 3.55
Nd (0.2500, 0.4080, 0.5920)  6 Y 3.43-3.53, 2 Er 3.55

Computed properties:
symmetry: C2/c (15)
total energy: -112.4 eV per cell
formation energy: 0.12 eV/atom
Fermi-level density of states: 15.72 states/eV/f.u.


## Pm5Y12Tm (PBE)

Data for crystalline Pm5Y12Tm at its relaxed geometry.

a = 15.2136 Å, b = 10.7600 Å, c = 5.0759 Å
α = 90.00°, β = 90.00°, γ = 45.06°
Last column: nearest neighbours and their distance in Å.
Positions (direct):
Y (0.3320, 0.6686, 0.0000)  8 Y 3.57-3.62, 1 Tm 3.58, 3 Pm 3.58-3.59
Y (0.6672, 0.0001, 0.9999)  8 Y 3.57-3.59, 4 Pm 3.59-3.60
Pm (0.6670, 0.6659, 0.0000)  8 Y 3.59-3.60, 4 Pm 3.59-3.60
Y (0.5002, 0.3342, 0.4999)  8 Y 3.56-3.60, 4 Pm 3.59-3.61
Y (0.1660, 0.0000, 0.5001)  2 Pm 3.57, 8 Y 3.58-3.59, 2 Tm 3.58
Y (0.6680, 0.3314, 0.0000)  8 Y 3.57-3.62, 1 Tm 3.58, 3 Pm 3.58-3.59
Y (0.8340, 0.0000, 0.4999)  2 Pm 3.57, 8 Y 3.58-3.59, 2 Tm 3.58
Y (0.8345, 0.6658, 0.4999)  8 Y 3.57-3.60, 4 Pm 3.60
Pm (0.8346, 0.3309, 0.5000)  8 Y 3.57-3.61, 2 Tm 3.58, 2 Pm 3.60
Y (0.9995, 0.6684, 0.9999)  1 Tm 3.57, 8 Y 3.58-3.61, 3 Pm 3.58-3.59
Y (0.4998, 0.6658, 0.5001)  8 Y 3.56-3.60, 4 Pm 3.59-3.61
Y (0.3328, 0.9999, 0.0001)  8 Y 3.57-3.59, 4 Pm 3.59-3.60
Pm (0.3330, 0.3341, 0.0000)  8 Y 3.59-3.60, 4 Pm 3.59-3.60
Tm (0.0000, 0.0000, 0.0000)  8 Y 3.57-3.58, 4 Pm 3.58
Pm (0.1654, 0.6691, 0.5000)  8 Y 3.57-3.61, 2 Tm 3.58, 2 Pm 3.60
Y (0.1655, 0.3342, 0.5001)  8 Y 3.57-3.60, 4 Pm 3.60
Pm (0.5000, 0.0000, 0.5000)  8 Y 3.59-3.60, 4 Pm 3.59
Y (0.0005, 0.3316, 0.0001)  1 Tm 3.57, 8 Y 3.58-3.61, 3 Pm 3.58-3.59

Computed properties:
symmetry: Cmmm (65)
total energy: -105.4 eV per cell
formation energy: 0.02 eV/atom
Fermi-level density of states: 27.23 states/eV/f.u.


## Sm7Cu3 (PBE)

Data for crystalline Sm7Cu3 at its relaxed geometry.

a = 6.2857 Å, b = 10.0456 Å, c = 10.0456 Å
α = 120.00°, β = 90.00°, γ = 90.00°
Last column: nearest neighbours and their distance in Å.
Positions (direct):
Sm (0.4338, 0.7453, 0.8727)  3 Cu 2.92-2.95
Sm (0.6199, 0.3333, 0.6667)  3 Cu 2.93
Sm (0.1307, 0.4622, 0.5378)  2 Cu 2.90
Sm (0.4338, 0.1273, 0.8727)  3 Cu 2.92-2.95
Cu (0.3649, 0.3805, 0.1903)  6 Sm 2.90-2.95
Sm (0.6307, 0.9244, 0.4622)  2 Cu 2.90
Cu (0.3649, 0.8097, 0.6195)  6 Sm 2.90-2.95
Sm (0.6307, 0.5378, 0.4622)  2 Cu 2.90
Cu (0.3649, 0.8097, 0.1903)  6 Sm 2.90-2.95
Sm (0.1307, 0.0756, 0.5378)  2 Cu 2.90
Cu (0.8649, 0.1903, 0.8097)  6 Sm 2.90-2.95
Sm (0.9338, 0.2547, 0.1273)  3 Cu 2.92-2.95
Sm (0.1307, 0.4622, 0.9244)  2 Cu 2.90
Sm (0.9338, 0.8727, 0.7453)  3 Cu 2.92-2.95
Cu (0.8649, 0.1903, 0.3805)  6 Sm 2.90-2.95
Sm (0.6307, 0.5378, 0.0756)  2 Cu 2.90
Sm (0.9338, 0.8727, 0.1273)  3 Cu 2.92-2.95
Sm (0.4338, 0.1273, 0.2547)  3 Cu 2.92-2.95
Cu (0.8649, 0.6195, 0.8097)  6 Sm 2.90-2.95
Sm (0.1199, 0.6667, 0.3333)  3 Cu 2.93

Computed properties:
symmetry: P6_3mc (186)
total energy: -92.5 eV per cell
formation energy: -0.09 eV/atom
Fermi-level density of states: 12.77 states/eV/f.u.


## YCrPbSe2 (PBE)

Data for crystalline YCrPbSe2 at its relaxed geometry.

a = 5.4073 Å, b = 5.5447 Å, c = 5.4073 Å
α = 90.00°, β = 90.00°, γ = 90.00°
Last column: nearest neighbours and their distance in Å.
Positions (direct):
Y (0.0000, 0.0000, 0.0000)  4 Se 2.70, 2 Cr 2.77
Cr (0.0000, 0.5000, 0.0000)  2 Y 2.77
Se (0.5000, 0.0000, 0.0000)  2 Y 2.70
Se (0.0000, 0.0000, 0.5000)  2 Y 2.70
Pb (0.5000, 0.5000, 0.5000)  4 Cr 3.82, 8 Se 3.87

Computed properties:
symmetry: P4/mmm (123)
total energy: -26.2 eV per cell
Fermi-level density of states: 1.40 states/eV/f.u.